Record 1
YHRh3 | PBE | optimized geometry

Summary:
total magnetization = 0.000 μB per cell
final energy = -58.9 eV per cell
crystal system = tetragonal
SG = I-4m2
relative energy among the computed polymorphs = 981 meV per atom
DOS(E_F) = 9.1 states/eV per cell

Lattice parameters (Å, degrees): 4.635 4.635 10.530 77.29 77.29 90.00
Fractional coordinates of all 10 atoms:
Rh1 0.365 0.365 0.270
Rh2 0.635 0.635 0.730
Rh3 0.632 0.877 0.247
Y1 0.250 0.750 0.500
Rh4 0.121 0.877 0.247
H1 0.629 0.129 0.742
Y2 0.000 0.000 0.000
Rh5 0.123 0.368 0.753
Rh6 0.123 0.879 0.753
H2 0.871 0.371 0.258

=====

Record 2
La4Pr10Dy | PBE | optimized geometry

Summary:
total magnetization = 0.000 μB per cell
final energy = -69.0 eV per cell
crystal system = tetragonal
SG = I4/mmm
DOS(E_F) = 20.6 states/eV per cell
ΔH_f (0 K) = 0.205 eV per atom

Lattice parameters (Å, degrees): 8.056 9.237 9.237 79.04 64.15 64.15
Fractional coordinates of all 15 atoms:
Pr1 0.750 0.500 0.500
Pr2 0.289 0.789 0.211
Pr3 0.289 0.211 0.789
Pr4 0.250 0.500 0.500
La1 0.773 0.453 0.000
La2 0.773 0.000 0.453
Pr5 0.500 0.789 0.789
Pr6 0.078 0.211 0.211
Pr7 0.500 0.211 0.211
La3 0.227 0.547 0.000
Dy1 0.000 0.000 0.000
La4 0.227 0.000 0.547
Pr8 0.711 0.211 0.789
Pr9 0.922 0.789 0.789
Pr10 0.711 0.789 0.211